First-principles (GGA-PBE) data for crystalline Ba2Zn3Cd4Pb at its relaxed geometry, as listed in Alexandria.

Structure (CIF):
```
data_Ba2Zn3Cd4Pb
_chemical_formula_sum 'Ba2 Zn3 Cd4 Pb1'
_cell_length_a 4.8619
_cell_length_b 4.8619
_cell_length_c 11.6474
_cell_angle_alpha 90.00
_cell_angle_beta 90.00
_cell_angle_gamma 90.00
_symmetry_space_group_name_H-M 'P -4 m 2'
_symmetry_Int_Tables_number 115
loop_
_symmetry_equiv_pos_as_xyz
'x,y,z'
'y,-x,-z'
'-x,-y,z'
'-y,x,-z'
'-x,y,z'
'-y,-x,-z'
'x,-y,z'
'y,x,-z'
loop_
_atom_site_label
_atom_site_fract_x
_atom_site_fract_y
_atom_site_fract_z
Ba1 0.0000 0.5000 0.2436
Zn1 0.0000 0.5000 0.8792
Zn2 0.5000 0.5000 0.5000
Cd1 0.0000 0.0000 0.0000
Cd2 0.0000 0.5000 0.6465
Cd3 0.5000 0.5000 0.0000
Pb1 0.0000 0.0000 0.5000
```

Calculated values
Size of the total moment, μB per atom: 0.0000
Raw total energy, eV/atom: -1.72
E_form, eV per atom: -0.22


First-principles (GGA-PBE) data for crystalline AlCdPb2 at its relaxed geometry, as listed in Alexandria.

Structure (CIF):
```
data_AlCdPb2
_chemical_formula_sum 'Al1 Cd1 Pb2'
_cell_length_a 3.4033
_cell_length_b 4.8558
_cell_length_c 6.5585
_cell_angle_alpha 90.00
_cell_angle_beta 100.74
_cell_angle_gamma 90.00
_symmetry_space_group_name_H-M 'P 1 m 1'
_symmetry_Int_Tables_number 6
loop_
_symmetry_equiv_pos_as_xyz
'x,y,z'
'x,-y,z'
loop_
_atom_site_label
_atom_site_fract_x
_atom_site_fract_y
_atom_site_fract_z
Al1 0.0000 0.0000 0.0000
Cd1 0.2114 0.5000 0.2500
Pb1 0.4269 0.5000 0.7883
Pb2 0.8274 0.0000 0.4815
```

Calculated values
Size of the total moment, μB per atom: 0.0000
Raw total energy, eV/atom: -2.86
E_form, eV per atom: 0.16


First-principles (GGA-PBE) data for crystalline CsNaTl3 at its relaxed geometry, as listed in Alexandria.

Structure (CIF):
```
data_CsNaTl3
_chemical_formula_sum 'Cs4 Na4 Tl12'
_cell_length_a 10.4527
_cell_length_b 6.5846
_cell_length_c 11.1545
_cell_angle_alpha 90.00
_cell_angle_beta 106.07
_cell_angle_gamma 90.00
_symmetry_space_group_name_H-M 'P 1 21/c 1'
_symmetry_Int_Tables_number 14
loop_
_symmetry_equiv_pos_as_xyz
'x,y,z'
'-x,-y,-z'
'-x,y+1/2,-z+1/2'
'x,-y+1/2,z+1/2'
loop_
_atom_site_label
_atom_site_fract_x
_atom_site_fract_y
_atom_site_fract_z
Cs1 0.1136 0.1194 0.2098
Na1 0.4558 0.6588 0.6729
Tl1 0.1551 0.6080 0.0594
Tl2 0.3027 0.6322 0.3768
Tl3 0.3943 0.1616 0.5290
```

Calculated values
Size of the total moment, μB per atom: 0.0000
Raw total energy, eV/atom: -1.94
Energy above the lowest structure with this stoichiometry, meV per atom: 0
E_form, eV per atom: -0.08


First-principles (GGA-PBE) data for crystalline FeCu2Mo at its relaxed geometry, as listed in Alexandria.

Structure (CIF):
```
data_FeCu2Mo
_chemical_formula_sum 'Fe1 Cu2 Mo1'
_cell_length_a 4.5549
_cell_length_b 4.5549
_cell_length_c 2.5717
_cell_angle_alpha 90.00
_cell_angle_beta 90.00
_cell_angle_gamma 90.00
_symmetry_space_group_name_H-M 'P 4/m m m'
_symmetry_Int_Tables_number 123
_symmetry_space_group_name_Hall '-P 4 2'
loop_
_atom_site_label
_atom_site_fract_x
_atom_site_fract_y
_atom_site_fract_z
Fe1 0.0000 0.0000 0.0000
Cu1 0.0000 0.5000 0.5000
Mo1 0.5000 0.5000 0.0000
```

Calculated values
Size of the total moment, μB per atom: 0.6649
Raw total energy, eV/atom: -6.48
Energy above the lowest structure with this stoichiometry, meV per atom: 236
E_form, eV per atom: 0.39


First-principles (GGA-PBE) data for crystalline LiZrTaSe2 at its relaxed geometry, as listed in Alexandria.

Structure (CIF):
```
data_LiZrTaSe2
_chemical_formula_sum 'Li1 Zr1 Ta1 Se2'
_cell_length_a 5.0756
_cell_length_b 5.0756
_cell_length_c 5.1465
_cell_angle_alpha 90.00
_cell_angle_beta 90.00
_cell_angle_gamma 90.00
_symmetry_space_group_name_H-M 'P 4/m m m'
_symmetry_Int_Tables_number 123
_symmetry_space_group_name_Hall '-P 4 2'
loop_
_atom_site_label
_atom_site_fract_x
_atom_site_fract_y
_atom_site_fract_z
Li1 0.0000 0.0000 0.0000
Zr1 0.5000 0.5000 0.0000
Ta1 0.5000 0.5000 0.5000
Se1 0.0000 0.5000 0.5000
```

Calculated values
Size of the total moment, μB per atom: 0.0651
Raw total energy, eV/atom: -5.60
Formation energy without anion corrections, meV/atom: 253


First-principles (GGA-PBE) data for crystalline Tl2CuBr8 at its relaxed geometry, as listed in Alexandria.

Structure (CIF):
```
data_Tl2CuBr8
_chemical_formula_sum 'Tl4 Cu2 Br16'
_cell_length_a 12.5527
_cell_length_b 10.5274
_cell_length_c 7.3557
_cell_angle_alpha 90.00
_cell_angle_beta 92.40
_cell_angle_gamma 90.00
_symmetry_space_group_name_H-M 'C 1 2/m 1'
_symmetry_Int_Tables_number 12
loop_
_symmetry_equiv_pos_as_xyz
'x,y,z'
'-x,-y,-z'
'-x,y,-z'
'x,-y,z'
'x+1/2,y+1/2,z'
'-x+1/2,-y+1/2,-z'
'-x+1/2,y+1/2,-z'
'x+1/2,-y+1/2,z'
loop_
_atom_site_label
_atom_site_fract_x
_atom_site_fract_y
_atom_site_fract_z
Tl1 0.2383 0.0000 0.3295
Cu1 0.0000 0.0000 0.0000
Br1 0.0760 0.5000 0.7967
Br2 0.1049 0.1686 0.1511
Br3 0.2084 0.0000 0.6722
```

Calculated values
Size of the total moment, μB per atom: 0.0923
Raw total energy, eV/atom: -2.41
Formation energy without anion corrections, meV/atom: -393


First-principles (GGA-PBE) data for crystalline TeCl3 at its relaxed geometry, as listed in Alexandria.

Structure (CIF):
```
data_TeCl3
_chemical_formula_sum 'Te2 Cl6'
_cell_length_a 9.8293
_cell_length_b 9.8293
_cell_length_c 3.8626
_cell_angle_alpha 90.00
_cell_angle_beta 90.00
_cell_angle_gamma 120.00
_symmetry_space_group_name_H-M 'P 63/m m c'
_symmetry_Int_Tables_number 194
_symmetry_space_group_name_Hall '-P 6c 2c'
loop_
_atom_site_label
_atom_site_fract_x
_atom_site_fract_y
_atom_site_fract_z
Te1 0.3333 0.6667 0.2500
Cl1 0.2193 0.4387 0.7500
```

Calculated values
Size of the total moment, μB per atom: 0.2294
Raw total energy, eV/atom: -2.36
Energy above the lowest structure with this stoichiometry, meV per atom: 227
Formation energy without anion corrections, meV/atom: -192


First-principles (GGA-PBE) data for crystalline Ac3GaRh2 at its relaxed geometry, as listed in Alexandria.

Structure (CIF):
```
data_Ac3GaRh2
_chemical_formula_sum 'Ac18 Ga6 Rh12'
_cell_length_a 8.1925
_cell_length_b 8.1925
_cell_length_c 18.5477
_cell_angle_alpha 90.00
_cell_angle_beta 90.00
_cell_angle_gamma 120.00
_symmetry_space_group_name_H-M 'R -3 c'
_symmetry_Int_Tables_number 167
_symmetry_space_group_name_Hall '-R 3 2"c'
loop_
_atom_site_label
_atom_site_fract_x
_atom_site_fract_y
_atom_site_fract_z
Ac1 0.0000 0.2886 0.2500
Ga1 0.0000 0.0000 0.0000
Rh1 0.0000 0.0000 0.1389
```

Calculated values
Size of the total moment, μB per atom: 0.0000
Raw total energy, eV/atom: -5.58
E_form, eV per atom: -0.58


First-principles (GGA-PBE) data for crystalline Hg2H2Br3 at its relaxed geometry, as listed in Alexandria.

Structure (CIF):
```
data_Hg2H2Br3
_chemical_formula_sum 'Hg2 H2 Br3'
_cell_length_a 4.0308
_cell_length_b 7.0153
_cell_length_c 7.6259
_cell_angle_alpha 81.01
_cell_angle_beta 74.83
_cell_angle_gamma 88.33
_symmetry_space_group_name_H-M 'P -1'
_symmetry_Int_Tables_number 2
loop_
_symmetry_equiv_pos_as_xyz
'x,y,z'
'-x,-y,-z'
loop_
_atom_site_label
_atom_site_fract_x
_atom_site_fract_y
_atom_site_fract_z
Hg1 0.1330 0.4242 0.2381
H1 0.0185 0.0160 0.5414
Br1 0.2675 0.7641 0.9458
Br2 0.5000 0.5000 0.5000
```

Calculated values
Size of the total moment, μB per atom: 0.0000
Raw total energy, eV/atom: -1.96


First-principles (GGA-PBE) data for crystalline Mg2GeAu2 at its relaxed geometry, as listed in Alexandria.

Structure (CIF):
```
data_Mg2GeAu2
_chemical_formula_sum 'Mg4 Ge2 Au4'
_cell_length_a 7.6494
_cell_length_b 7.6494
_cell_length_c 3.2666
_cell_angle_alpha 90.00
_cell_angle_beta 90.00
_cell_angle_gamma 90.00
_symmetry_space_group_name_H-M 'P 4/m b m'
_symmetry_Int_Tables_number 127
_symmetry_space_group_name_Hall '-P 4 2ab'
loop_
_atom_site_label
_atom_site_fract_x
_atom_site_fract_y
_atom_site_fract_z
Mg1 0.1609 0.3391 0.0000
Ge1 0.0000 0.0000 0.5000
Au1 0.1375 0.6375 0.5000
```

Calculated values
Size of the total moment, μB per atom: 0.0000
Raw total energy, eV/atom: -3.23
Energy above the lowest structure with this stoichiometry, meV per atom: 0
E_form, eV per atom: -0.36


First-principles (GGA-PBE) data for crystalline Tb2HoAl at its relaxed geometry, as listed in Alexandria.

Structure (CIF):
```
data_Tb2HoAl
_chemical_formula_sum 'Tb2 Ho1 Al1'
_cell_length_a 3.5077
_cell_length_b 3.5077
_cell_length_c 9.0606
_cell_angle_alpha 90.00
_cell_angle_beta 90.00
_cell_angle_gamma 90.00
_symmetry_space_group_name_H-M 'P 4/m m m'
_symmetry_Int_Tables_number 123
_symmetry_space_group_name_Hall '-P 4 2'
loop_
_atom_site_label
_atom_site_fract_x
_atom_site_fract_y
_atom_site_fract_z
Tb1 0.0000 0.0000 0.2153
Ho1 0.5000 0.5000 0.5000
Al1 0.5000 0.5000 0.0000
```

Calculated values
Size of the total moment, μB per atom: 0.0000
Raw total energy, eV/atom: -4.57
Energy above the lowest structure with this stoichiometry, meV per atom: 21
E_form, eV per atom: -0.18


First-principles (GGA-PBE) data for crystalline AcErSc2 at its relaxed geometry, as listed in Alexandria.

Structure (CIF):
```
data_AcErSc2
_chemical_formula_sum 'Ac4 Er4 Sc8'
_cell_length_a 7.8690
_cell_length_b 7.8690
_cell_length_c 7.8690
_cell_angle_alpha 90.00
_cell_angle_beta 90.00
_cell_angle_gamma 90.00
_symmetry_space_group_name_H-M 'F m -3 m'
_symmetry_Int_Tables_number 225
_symmetry_space_group_name_Hall '-F 4 2 3'
loop_
_atom_site_label
_atom_site_fract_x
_atom_site_fract_y
_atom_site_fract_z
Ac1 0.0000 0.0000 0.0000
Er1 0.0000 0.0000 0.5000
Sc1 0.2500 0.2500 0.2500
```

Calculated values
Size of the total moment, μB per atom: 0.0000
Raw total energy, eV/atom: -5.23
Energy above the lowest structure with this stoichiometry, meV per atom: 14
E_form, eV per atom: 0.11